Model P:
Here is a relaxed structure of TlTcBr2 from the Alexandria database. Energies are from PBE.

```
TlTcBr2
1.0
-7.951 -2.965 -2.403
0.465 -6.266 6.189
-4.966 -2.855 3.767
Tl Tc Br
2 2 4
direct
0.000 0.000 0.000
0.750 0.250 0.500
0.500 0.500 0.000
0.250 0.750 0.500
0.493 0.125 0.250
0.257 0.625 0.250
0.375 0.507 0.750
0.875 0.743 0.750
```

Fermi-level density of states	5.2	states/eV/f.u.
space-group type	No. 122
total magnetic moment	0.00	μB/cell

***

Model Q:
Here is a relaxed structure of TlTcBr2 from the Alexandria database. Energies are from PBE.

```
TlTcBr2
1.0
7.537 0.034 0.007
5.229 5.428 -0.007
-6.040 -3.532 2.801
Tl Tc Br
1 1 2
direct
0.319 0.819 0.500
0.522 0.522 0.000
0.980 0.980 0.000
0.680 0.180 0.500
```

Fermi-level density of states	1.3	states/eV/f.u.
space-group type	No. 44
total magnetic moment	4.06	μB/cell

***

Pick the least stable structure from those above. Pick: model Q